A geometry-optimized RbNbCuSe2S structure, computed with PBE.

```
RbNbCuSe2S
1.0
1.858 -7.810 0.000
1.858 7.810 0.000
0.000 0.000 9.766
Nb Rb Se Cu S
2 2 4 2 2
direct
0.000 0.000 0.000
0.000 0.000 0.500
0.742 0.258 0.250
0.258 0.742 0.750
0.382 0.618 0.451
0.618 0.382 0.549
0.618 0.382 0.951
0.382 0.618 0.049
0.531 0.469 0.750
0.469 0.531 0.250
0.056 0.944 0.250
0.944 0.056 0.750
```

Results
size of the total moment: 1.01 μB per cell
total energy: -0.1878 Ha/atom